UCd2WO8 | GGA+U | optimized geometry

The structure in extended XYZ format:
```
12
Lattice="5.072 -0.130 -0.003 -0.135 5.066 -0.006 0.004 0.008 6.629" Properties=species:S:1:pos:R:3 pbc="T T T"
U 0.002 0.004 3.315
Cd 2.472 2.474 5.044
Cd 2.469 2.470 1.576
W 0.000 0.000 0.000
O 0.767 4.165 1.528
O 3.591 3.592 -0.006
O 4.173 0.775 1.530
O 4.174 0.778 5.093
O 1.350 1.351 6.627
O 0.768 4.169 5.091
O 3.553 3.557 3.308
O 1.388 1.387 3.312
```

Computed properties:
Total moment   0.0 μB per formula unit
SG   Cmmm
Total energy   -7.055 eV per atom